[1]
An optimized crystal structure of MgVNi4, computed with GGA-PBE.

For the formation enthalpy at 0 K, the calculation gives -0.048 eV per atom. The value obtained for the calculated total energy is -5.6878 eV/atom.

Cell lengths 3.734, 5.100, 8.191 Å; angles 90.00, 103.18, 90.00 degrees
Fractional coordinates of all 12 atoms:
Ni 0.344 0.020 0.687
Ni 0.075 0.750 0.150
V 0.226 0.750 0.451
Ni 0.500 0.000 0.000
Ni 0.656 0.520 0.313
Ni 0.925 0.250 0.850
Ni 0.656 0.980 0.313
Ni 0.500 0.500 0.000
Mg 0.090 0.250 0.179
Ni 0.344 0.480 0.687
Mg 0.910 0.750 0.821
V 0.774 0.250 0.549

=====

[2]
An optimized crystal structure of Mg14VNi, computed with GGA-PBE.

For the formation enthalpy at 0 K, the calculation gives 0.089 eV per atom. The value obtained for the calculated total energy is -2.2378 eV/atom.

Cell lengths 6.216, 6.216, 9.992 Å; angles 90.00, 90.00, 120.00 degrees
Each line ends with the local moment (μB).
Fractional coordinates of all 16 atoms:
Mg 0.160 0.319 0.241  0.00
Ni 0.000 0.000 0.000  0.00
Mg 0.160 0.840 0.241  0.00
Mg 0.502 0.498 0.000  0.00
Mg 0.996 0.498 0.000  0.00
Mg 0.502 0.004 0.000  0.00
Mg 0.681 0.840 0.759  0.00
Mg 0.160 0.840 0.759  0.00
Mg 0.004 0.502 0.500  -0.01
Mg 0.498 0.996 0.500  -0.01
Mg 0.498 0.502 0.500  -0.01
Mg 0.667 0.333 0.253  0.00
Mg 0.667 0.333 0.747  0.00
Mg 0.160 0.319 0.759  0.00
Mg 0.681 0.840 0.241  0.00
V 0.000 0.000 0.500  2.67

=====

[3]
An optimized crystal structure of MgNi2W, computed with GGA-PBE.

For the formation enthalpy at 0 K, the calculation gives 0.011 eV per atom. The value obtained for the calculated total energy is -6.5171 eV/atom.

Cell lengths 4.516, 4.516, 2.676 Å; angles 90.00, 90.00, 89.79 degrees
Fractional coordinates of all 4 atoms:
Ni 0.000 0.000 0.000
Ni 0.500 0.500 0.000
Mg 0.000 0.500 0.500
W 0.500 0.000 0.500

=====

[4]
An optimized crystal structure of MgNi2W, computed with GGA-PBE.

For the formation enthalpy at 0 K, the calculation gives 0.152 eV per atom. The value obtained for the calculated total energy is -6.3755 eV/atom.

Cell lengths 8.669, 8.669, 8.669 Å; angles 18.35, 18.35, 18.35 degrees
Fractional coordinates of all 4 atoms:
W 0.250 0.250 0.250
Ni 0.502 0.502 0.502
Mg 0.750 0.750 0.750
Ni 0.998 0.998 0.998

=====

[5]
An optimized crystal structure of MgNiW2, computed with GGA-PBE.

For the formation enthalpy at 0 K, the calculation gives 0.306 eV per atom. The value obtained for the calculated total energy is -8.0142 eV/atom.

Cell lengths 2.691, 2.691, 8.596 Å; angles 90.00, 90.00, 100.35 degrees
Fractional coordinates of all 4 atoms:
W 0.000 0.000 0.525
W 0.000 0.000 0.975
Ni 0.500 0.500 0.750
Mg 0.500 0.500 0.250

=====

[6]
An optimized crystal structure of MgNi2W, computed with GGA-PBE.

For the formation enthalpy at 0 K, the calculation gives 0.012 eV per atom. The value obtained for the calculated total energy is -6.5159 eV/atom.

Cell lengths 3.402, 2.735, 6.671 Å; angles 65.95, 90.00, 90.00 degrees
Fractional coordinates of all 4 atoms:
Ni 0.000 0.530 0.471
Mg 0.500 0.750 0.750
W 0.500 0.250 0.250
Ni 0.000 0.970 0.029

=====

[7]
An optimized crystal structure of MgNiW2, computed with GGA-PBE.

For the formation enthalpy at 0 K, the calculation gives 0.842 eV per atom. The value obtained for the calculated total energy is -7.4783 eV/atom.

Cell lengths 7.261, 7.261, 5.716 Å; angles 50.56, 50.56, 90.00 degrees
Fractional coordinates of all 8 atoms:
W 0.375 0.330 0.750
W 0.670 0.125 0.250
W 0.080 0.625 0.250
Mg 0.250 0.750 0.500
W 0.875 0.920 0.750
Ni 0.750 0.250 0.500
Mg 0.500 0.500 0.000
Ni 0.000 0.000 0.000

=====

[8]
An optimized crystal structure of MgNi2W2, computed with GGA-PBE.

For the formation enthalpy at 0 K, the calculation gives 0.270 eV per atom. The value obtained for the calculated total energy is -7.5424 eV/atom.

Cell lengths 7.240, 7.240, 2.792 Å; angles 90.00, 90.00, 90.00 degrees
Fractional coordinates of all 10 atoms:
W 0.829 0.329 0.500
W 0.171 0.671 0.500
Ni 0.878 0.622 0.000
Ni 0.622 0.122 0.000
Mg 0.000 0.000 0.000
Ni 0.122 0.378 0.000
W 0.329 0.171 0.500
Ni 0.378 0.878 0.000
Mg 0.500 0.500 0.000
W 0.671 0.829 0.500

=====

[9]
An optimized crystal structure of MgNi2W, computed with GGA-PBE.

For the formation enthalpy at 0 K, the calculation gives 0.286 eV per atom. The value obtained for the calculated total energy is -6.2411 eV/atom.

Cell lengths 4.746, 4.746, 4.746 Å; angles 134.11, 134.11, 66.92 degrees
Fractional coordinates of all 4 atoms:
Ni 0.000 0.000 0.000
W 0.500 0.500 0.000
Ni 0.250 0.750 0.500
Mg 0.750 0.250 0.500

=====

[10]
An optimized crystal structure of MgNi2W, computed with GGA-PBE.

For the formation enthalpy at 0 K, the calculation gives 0.051 eV per atom. The value obtained for the calculated total energy is -6.4768 eV/atom.

Cell lengths 4.822, 4.822, 4.569 Å; angles 76.98, 76.98, 31.96 degrees
Fractional coordinates of all 4 atoms:
Mg 0.265 0.265 0.191
Ni 0.735 0.735 0.705
W 0.480 0.480 0.562
Ni 0.020 0.020 0.041

=====

[11]
An optimized crystal structure of MgNi2W, computed with GGA-PBE.

For the formation enthalpy at 0 K, the calculation gives 0.648 eV per atom. The value obtained for the calculated total energy is -5.8796 eV/atom.

Cell lengths 6.707, 6.707, 5.463 Å; angles 52.12, 52.12, 90.00 degrees
Fractional coordinates of all 8 atoms:
Ni 0.875 0.895 0.750
Ni 0.105 0.625 0.250
Ni 0.645 0.125 0.250
Ni 0.375 0.355 0.750
Mg 0.500 0.500 0.000
W 0.000 0.000 0.000
Mg 0.250 0.750 0.500
W 0.750 0.250 0.500

=====

[12]
An optimized crystal structure of MgNiW2, computed with GGA-PBE.

For the formation enthalpy at 0 K, the calculation gives 0.332 eV per atom. The value obtained for the calculated total energy is -7.9888 eV/atom.

Cell lengths 2.672, 4.026, 5.733 Å; angles 90.00, 90.00, 90.00 degrees
Fractional coordinates of all 4 atoms:
Mg 0.000 0.000 0.519
Ni 0.500 0.500 0.743
W 0.500 0.500 0.239
W 0.000 0.000 0.999

=====

[13]
An optimized crystal structure of MgNiW2, computed with GGA-PBE.

For the formation enthalpy at 0 K, the calculation gives 0.361 eV per atom. The value obtained for the calculated total energy is -7.9593 eV/atom.

Cell lengths 5.100, 5.269, 2.677 Å; angles 81.39, 77.57, 115.42 degrees
Fractional coordinates of all 4 atoms:
Ni 0.500 0.500 0.000
W 0.500 0.000 0.500
W 0.000 0.000 0.000
Mg 0.000 0.500 0.500

=====

[14]
An optimized crystal structure of MgNiW2, computed with GGA-PBE.

For the formation enthalpy at 0 K, the calculation gives 0.391 eV per atom. The value obtained for the calculated total energy is -7.9296 eV/atom.

Cell lengths 2.675, 4.323, 5.253 Å; angles 90.00, 90.00, 90.00 degrees
Each line ends with the local moment (μB).
Fractional coordinates of all 4 atoms:
Ni 0.500 0.500 0.750  0.07
W 0.000 0.000 0.996  0.02
Mg 0.500 0.500 0.250  0.00
W 0.000 0.000 0.504  0.02

=====

[15]
An optimized crystal structure of MgNi2W, computed with GGA-PBE.

For the formation enthalpy at 0 K, the calculation gives 0.151 eV per atom. The value obtained for the calculated total energy is -6.3770 eV/atom.

Cell lengths 2.696, 2.696, 7.619 Å; angles 90.00, 90.00, 89.97 degrees
Fractional coordinates of all 4 atoms:
W 0.000 0.000 0.470
Ni 0.500 0.500 0.231
Mg 0.500 0.500 0.778
Ni 0.000 0.000 0.022

=====

[16]
An optimized crystal structure of MgNiW2, computed with GGA-PBE.

For the formation enthalpy at 0 K, the calculation gives 0.187 eV per atom. The value obtained for the calculated total energy is -8.1339 eV/atom.

Cell lengths 2.728, 2.728, 8.212 Å; angles 90.00, 90.00, 90.00 degrees
Fractional coordinates of all 4 atoms:
W 0.000 0.000 0.967
Mg 0.000 0.000 0.528
Ni 0.500 0.500 0.759
W 0.500 0.500 0.246

=====

[17]
An optimized crystal structure of MgNiW2, computed with GGA-PBE.

For the formation enthalpy at 0 K, the calculation gives 0.321 eV per atom. The value obtained for the calculated total energy is -7.9993 eV/atom.

Cell lengths 9.286, 9.286, 9.286 Å; angles 17.41, 17.41, 17.41 degrees
Fractional coordinates of all 4 atoms:
W 0.007 0.007 0.007
Mg 0.493 0.493 0.493
Ni 0.748 0.748 0.748
W 0.252 0.252 0.252

=====

[18]
An optimized crystal structure of MgNiW2, computed with GGA-PBE.

For the formation enthalpy at 0 K, the calculation gives 0.362 eV per atom. The value obtained for the calculated total energy is -7.9588 eV/atom.

Cell lengths 4.418, 4.418, 4.418 Å; angles 60.00, 60.00, 60.00 degrees
Fractional coordinates of all 4 atoms:
Ni 0.750 0.750 0.750
W 0.000 0.000 0.000
W 0.250 0.250 0.250
Mg 0.500 0.500 0.500

=====

[19]
An optimized crystal structure of Mg2Ni2W, computed with GGA-PBE.

For the formation enthalpy at 0 K, the calculation gives 0.264 eV per atom. The value obtained for the calculated total energy is -5.2773 eV/atom.

Cell lengths 7.149, 7.149, 2.835 Å; angles 90.00, 90.00, 90.00 degrees
Fractional coordinates of all 10 atoms:
Mg 0.151 0.651 0.500
Mg 0.849 0.349 0.500
Mg 0.349 0.151 0.500
W 0.000 0.000 0.000
Ni 0.352 0.852 0.000
W 0.500 0.500 0.000
Mg 0.651 0.849 0.500
Ni 0.852 0.648 0.000
Ni 0.148 0.352 0.000
Ni 0.648 0.148 0.000

=====

[20]
An optimized crystal structure of MgNi2W, computed with GGA-PBE.

For the formation enthalpy at 0 K, the calculation gives 0.414 eV per atom. The value obtained for the calculated total energy is -6.1139 eV/atom.

Cell lengths 2.831, 4.627, 4.246 Å; angles 90.00, 90.00, 90.00 degrees
Fractional coordinates of all 4 atoms:
Ni 0.000 0.000 0.000
Mg 0.000 0.500 0.500
W 0.500 0.000 0.500
Ni 0.500 0.500 0.000